(1)
# Tb2ThRh

A geometry-optimized Tb2ThRh structure (PBE, Alexandria).

a = 6.434 Å, b = 7.105 Å, c = 9.767 Å
α = 90.00°, β = 90.00°, γ = 90.00°
Atoms (fractional coordinates):
Tb (0.166, 0.678, 0.065)
Tb (0.334, 0.178, 0.435)
Tb (0.834, 0.322, 0.565)
Tb (0.666, 0.822, 0.935)
Tb (0.834, 0.322, 0.935)
Tb (0.666, 0.822, 0.565)
Tb (0.166, 0.678, 0.435)
Tb (0.334, 0.178, 0.065)
Th (0.655, 0.538, 0.250)
Th (0.845, 0.038, 0.250)
Th (0.345, 0.462, 0.750)
Th (0.155, 0.962, 0.750)
Rh (0.051, 0.372, 0.250)
Rh (0.449, 0.872, 0.250)
Rh (0.949, 0.628, 0.750)
Rh (0.551, 0.128, 0.750)

Volume in Å³ per atom: 27.91
Spin magnetization in μB per cell: 0.000
DFT total energy in eV/cell: -104.09
Relative energy among the computed polymorphs in eV/atom: 0.000
Energy of formation from the pure elements in meV per atom: -498

***

(2)
# Tb3ThRh8

A geometry-optimized Tb3ThRh8 structure (PBE, Alexandria).

a = 5.371 Å, b = 5.371 Å, c = 9.291 Å
α = 73.20°, β = 73.20°, γ = 60.00°
Atoms (fractional coordinates):
Tb (0.374, 0.374, 0.878)
Tb (0.002, 0.002, 0.993)
Tb (0.498, 0.498, 0.506)
Th (0.876, 0.876, 0.372)
Rh (0.936, 0.438, 0.187)
Rh (0.438, 0.937, 0.688)
Rh (0.438, 0.438, 0.187)
Rh (0.937, 0.937, 0.688)
Rh (0.187, 0.187, 0.438)
Rh (0.688, 0.688, 0.937)
Rh (0.438, 0.936, 0.187)
Rh (0.937, 0.438, 0.688)

Volume in Å³ per atom: 18.23
Spin magnetization in μB per cell: 0.000
DFT total energy in eV/cell: -89.09
Energy of formation from the pure elements in meV per atom: -747

***

(3)
# TbTh2Rh2

A geometry-optimized TbTh2Rh2 structure (PBE, Alexandria).

a = 3.902 Å, b = 7.875 Å, c = 7.875 Å
α = 90.00°, β = 90.00°, γ = 90.00°
Atoms (fractional coordinates):
Tb (0.000, 0.000, 0.000)
Tb (0.000, 0.500, 0.500)
Th (0.500, 0.167, 0.667)
Th (0.500, 0.667, 0.833)
Th (0.500, 0.833, 0.333)
Th (0.500, 0.333, 0.167)
Rh (0.000, 0.365, 0.865)
Rh (0.000, 0.865, 0.635)
Rh (0.000, 0.635, 0.135)
Rh (0.000, 0.135, 0.365)

Volume in Å³ per atom: 24.20
Spin magnetization in μB per cell: 0.000
DFT total energy in eV/cell: -75.81
Relative energy among the computed polymorphs in eV/atom: 0.000
Energy of formation from the pure elements in meV per atom: -746

***

(4)
# Tb2ThRh

A geometry-optimized Tb2ThRh structure (PBE, Alexandria).

a = 3.563 Å, b = 3.563 Å, c = 10.817 Å
α = 80.52°, β = 80.52°, γ = 60.00°
Atoms (fractional coordinates):
Rh (0.500, 0.500, 0.500)
Tb (0.109, 0.109, 0.673)
Tb (0.891, 0.891, 0.327)
Th (0.000, 0.000, 0.000)

Volume in Å³ per atom: 29.19
Spin magnetization in μB per cell: 0.000
DFT total energy in eV/cell: -24.44
Relative energy among the computed polymorphs in eV/atom: 0.395
Energy of formation from the pure elements in meV per atom: -102

***

(5)
# TbThRh

A geometry-optimized TbThRh structure (PBE, Alexandria).

a = 4.907 Å, b = 4.907 Å, c = 4.907 Å
α = 60.00°, β = 60.00°, γ = 60.00°
Atoms (fractional coordinates):
Rh (0.250, 0.250, 0.250)
Tb (0.000, 0.000, 0.000)
Th (0.500, 0.500, 0.500)

Volume in Å³ per atom: 27.85
Spin magnetization in μB per cell: 0.000
DFT total energy in eV/cell: -20.71
Relative energy among the computed polymorphs in eV/atom: 0.178
Energy of formation from the pure elements in meV per atom: -435

***

(6)
# TbThRh

A geometry-optimized TbThRh structure (PBE, Alexandria).

a = 4.082 Å, b = 4.661 Å, c = 4.661 Å
α = 120.00°, β = 90.00°, γ = 90.00°
Atoms (fractional coordinates):
Rh (0.338, 0.333, 0.667)
Tb (0.604, 0.667, 0.333)
Th (0.058, 0.000, 0.000)

Volume in Å³ per atom: 25.60
Spin magnetization in μB per cell: 0.000
DFT total energy in eV/cell: -20.44
Relative energy among the computed polymorphs in eV/atom: 0.267
Energy of formation from the pure elements in meV per atom: -346

***

(7)
# Tb2ThRh3

A geometry-optimized Tb2ThRh3 structure (PBE, Alexandria).

a = 5.625 Å, b = 6.953 Å, c = 7.511 Å
α = 102.48°, β = 111.99°, γ = 90.00°
Atoms (fractional coordinates):
Tb (0.781, 0.641, 0.354)
Tb (0.573, 0.141, 0.354)
Tb (0.427, 0.859, 0.646)
Tb (0.219, 0.359, 0.646)
Th (0.118, 0.750, 0.000)
Th (0.882, 0.250, 0.000)
Rh (0.399, 0.250, 0.000)
Rh (0.601, 0.750, 0.000)
Rh (0.056, 0.009, 0.317)
Rh (0.739, 0.491, 0.683)
Rh (0.261, 0.509, 0.317)
Rh (0.944, 0.991, 0.683)

Volume in Å³ per atom: 22.08
Spin magnetization in μB per cell: 0.000
DFT total energy in eV/cell: -87.10
Relative energy among the computed polymorphs in eV/atom: 0.034
Energy of formation from the pure elements in meV per atom: -803

***

(8)
# TbThRh2

A geometry-optimized TbThRh2 structure (PBE, Alexandria).

a = 3.529 Å, b = 4.950 Å, c = 4.950 Å
α = 90.00°, β = 90.00°, γ = 90.00°
Atoms (fractional coordinates):
Rh (0.000, 0.000, 0.500)
Rh (0.000, 0.500, 0.000)
Tb (0.500, 0.500, 0.500)
Th (0.500, 0.000, 0.000)

Volume in Å³ per atom: 21.62
Spin magnetization in μB per cell: 0.000
DFT total energy in eV/cell: -29.99
Relative energy among the computed polymorphs in eV/atom: 0.101
Energy of formation from the pure elements in meV per atom: -810